Record 1
Computed, not measured: a crystal of Li2MoOs relaxed with PBEsol at the meta-GGA SCAN level of DFT.

Results
* relative energy among the computed polymorphs: 0.0 kJ/mol of atoms
* energy of formation from the pure elements: 144 meV per atom

Cell: 5.959 5.959 5.959 Å, 90.00 90.00 90.00°
Space group F-43m (No. 216)
Unique sites:
Li  0.000  0.000  0.000 (multiplicity 4)
Li  0.250  0.250  0.250 (multiplicity 4)
Mo  0.000  0.000  0.500 (multiplicity 4)
Os  0.250  0.250  0.750 (multiplicity 4)

Record 2
Computed, not measured: a crystal of Li2CoPt relaxed with PBEsol at the meta-GGA SCAN level of DFT.

Results
* relative energy among the computed polymorphs: 7.9 kJ/mol of atoms
* energy of formation from the pure elements: -247 meV per atom

Cell: 2.611 3.898 5.138 Å, 90.00 90.00 90.00°
Space group Pmm2 (No. 25)
Unique sites:
Li  0.000  0.000  0.000 (multiplicity 1)
Li  0.500  0.500  0.239 (multiplicity 1)
Co  0.500  0.500  0.705 (multiplicity 1)
Pt  0.000  0.000  0.516 (multiplicity 1)

Record 3
Computed, not measured: a crystal of MnCo2Si relaxed with PBEsol at the meta-GGA SCAN level of DFT.

Results
* formation energy (no corrections): -0.205 eV per atom

Cell: 7.979 2.524 4.210 Å, 90.00 101.71 90.00°
Space group C2/m (No. 12)
Unique sites:
Mn  0.000  0.000  0.000 (multiplicity 2)
Co  0.246  0.000  0.754 (multiplicity 4)
Si  0.000  0.500  0.500 (multiplicity 2)

Record 4
Computed, not measured: a crystal of AgHg3 relaxed with PBEsol at the meta-GGA SCAN level of DFT.

Results
* energy of formation from the pure elements: 97 meV per atom

Cell: 9.881 3.283 5.162 Å, 90.00 99.51 90.00°
Space group C2/m (No. 12)
Unique sites:
Ag  0.000  0.000  0.000 (multiplicity 2)
Hg  0.000  0.500  0.500 (multiplicity 2)
Hg  0.244  0.500  0.240 (multiplicity 4)

Record 5
Computed, not measured: a crystal of Ca2CuCl relaxed with PBEsol at the meta-GGA SCAN level of DFT.

Results
* formation energy (no corrections): -0.719 eV per atom
* relative energy among the computed polymorphs: 18.1 kJ/mol of atoms

Cell: 7.327 7.312 3.342 Å, 90.00 90.23 90.00°
Space group C2/m (No. 12)
Unique sites:
Ca  0.250  0.250  0.000 (multiplicity 4)
Cu  0.000  0.000  0.500 (multiplicity 2)
Cl  0.000  0.500  0.500 (multiplicity 2)

Record 6
Computed, not measured: a crystal of Al4CrRe relaxed with PBEsol at the meta-GGA SCAN level of DFT.

Results
* energy of formation from the pure elements: 51 meV per atom

Cell: 7.018 7.018 7.018 Å, 90.00 90.00 90.00°
Space group F-43m (No. 216)
Unique sites:
Al  0.125  0.125  0.125 (multiplicity 16)
Cr  0.000  0.000  0.500 (multiplicity 4)
Re  0.250  0.250  0.750 (multiplicity 4)

Record 7
Computed, not measured: a crystal of Cu5As relaxed with PBEsol at the meta-GGA SCAN level of DFT.

Results
* energy of formation from the pure elements: 14 meV per atom

Cell: 4.4987 4.4987 4.1282 Å, 90.00 90.00 120.00°
Space group P-62m (No. 189)
Unique sites:
Cu  0.0000  0.6624  0.0000 (multiplicity 3)
Cu  0.3333  0.6667  0.5000 (multiplicity 2)
As  0.0000  0.0000  0.5000 (multiplicity 1)

Record 8
Computed, not measured: a crystal of TiRePb3 relaxed with PBEsol at the meta-GGA SCAN level of DFT.

Results
* energy of formation from the pure elements: 1004 meV per atom

Cell: 5.261 5.261 5.261 Å, 90.00 90.00 90.00°
Space group Pm-3m (No. 221)
Unique sites:
Ti  0.000  0.000  0.000 (multiplicity 1)
Re  0.500  0.500  0.500 (multiplicity 1)
Pb  0.000  0.500  0.500 (multiplicity 3)

Record 9
Computed, not measured: a crystal of YAl7 relaxed with PBEsol at the meta-GGA SCAN level of DFT.

Results
* energy of formation from the pure elements: -132 meV per atom

Cell: 8.299 8.299 8.299 Å, 90.00 90.00 90.00°
Space group Fm-3m (No. 225)
Unique sites:
Y  0.000  0.000  0.000 (multiplicity 4)
Al  0.000  0.000  0.500 (multiplicity 4)
Al  0.000  0.250  0.250 (multiplicity 24)

Record 10
Computed, not measured: a crystal of TeWI2O relaxed with PBEsol at the meta-GGA SCAN level of DFT.

Results
* formation energy (no corrections): 0.994 eV per atom

Cell: 5.417 5.417 5.145 Å, 90.00 90.00 90.00°
Space group P4/mmm (No. 123)
Unique sites:
Te  0.000  0.000  0.000 (multiplicity 1)
W  0.000  0.000  0.500 (multiplicity 1)
I  0.000  0.500  0.500 (multiplicity 2)
O  0.500  0.500  0.000 (multiplicity 1)

Record 11
Computed, not measured: a crystal of AlCr2H2 relaxed with PBEsol at the meta-GGA SCAN level of DFT.

Results
* total energy: -103.0 eV/cell

Cell: 3.026 3.026 9.030 Å, 90.00 90.00 90.00°
Space group I4/mmm (No. 139)
Unique sites:
Al  0.000  0.000  0.000 (multiplicity 2)
Cr  0.000  0.000  0.335 (multiplicity 4)
H  0.000  0.500  0.250 (multiplicity 4)

Record 12
Computed, not measured: a crystal of YTe2SeI relaxed with PBEsol at the meta-GGA SCAN level of DFT.

Results
* formation energy (no corrections): -0.092 eV per atom

Cell: 5.805 5.805 5.678 Å, 90.00 90.00 90.00°
Space group P4/mmm (No. 123)
Unique sites:
Y  0.000  0.000  0.000 (multiplicity 1)
Te  0.000  0.500  0.000 (multiplicity 2)
Se  0.500  0.500  0.500 (multiplicity 1)
I  0.000  0.000  0.500 (multiplicity 1)

Record 13
Computed, not measured: a crystal of Sr2TaVO6 relaxed with PBEsol at the meta-GGA SCAN level of DFT.

Results
* formation energy (no corrections): -3.203 eV per atom

Cell: 5.557 5.557 7.907 Å, 90.00 90.00 90.00°
Space group I4/m (No. 87)
Unique sites:
Sr  0.000  0.500  0.250 (multiplicity 4)
Ta  0.000  0.000  0.000 (multiplicity 2)
V  0.000  0.000  0.500 (multiplicity 2)
O  0.000  0.000  0.251 (multiplicity 4)
O  0.223  0.726  0.500 (multiplicity 8)

Record 14
Computed, not measured: a crystal of YAlP2 relaxed with PBEsol at the meta-GGA SCAN level of DFT.

Results
* energy of formation from the pure elements: -894 meV per atom

Cell: 3.792 3.792 5.521 Å, 90.00 90.00 90.00°
Space group P4mm (No. 99)
Unique sites:
Y  0.000  0.000  0.000 (multiplicity 1)
Al  0.500  0.500  0.466 (multiplicity 1)
P  0.000  0.000  0.501 (multiplicity 1)
P  0.500  0.500  0.008 (multiplicity 1)

Record 15
Computed, not measured: a crystal of BeCrTe2I relaxed with PBEsol at the meta-GGA SCAN level of DFT.

Results
* formation energy (no corrections): 0.486 eV per atom
* relative energy among the computed polymorphs: 0.0 kJ/mol of atoms

Cell: 4.935 4.935 5.168 Å, 90.00 90.00 90.00°
Space group P4/mmm (No. 123)
Unique sites:
Be  0.000  0.000  0.000 (multiplicity 1)
Cr  0.500  0.500  0.500 (multiplicity 1)
Te  0.000  0.500  0.000 (multiplicity 2)
I  0.000  0.000  0.500 (multiplicity 1)

Record 16
Computed, not measured: a crystal of Na2Pb2Au relaxed with PBEsol at the meta-GGA SCAN level of DFT.

Results
* energy of formation from the pure elements: -253 meV per atom

Cell: 7.317 7.317 5.057 Å, 90.00 90.00 90.00°
Space group P4/mbm (No. 127)
Unique sites:
Na  0.167  0.333  0.000 (multiplicity 4)
Pb  0.145  0.645  0.500 (multiplicity 4)
Au  0.000  0.000  0.500 (multiplicity 2)

Record 17
Computed, not measured: a crystal of Ta2Tl2P7HO24 relaxed with PBEsol at the meta-GGA SCAN level of DFT.

Results
* total energy: -1178.7 eV/cell

Cell: 5.146 18.612 10.868 Å, 90.00 95.93 90.00°
Space group P2_1/m (No. 11)
Unique sites:
Ta  0.193  0.023  0.303 (multiplicity 4)
Tl  0.165  0.750  0.222 (multiplicity 2)
Tl  0.279  0.250  0.526 (multiplicity 2)
P  0.176  0.127  0.036 (multiplicity 4)
P  0.268  0.598  0.544 (multiplicity 4)
P  0.340  0.085  0.800 (multiplicity 4)
P  0.392  0.250  0.174 (multiplicity 2)
H  0.161  0.750  0.766 (multiplicity 2)
O  0.019  0.593  0.615 (multiplicity 4)
O  0.062  0.661  0.025 (multiplicity 4)
O  0.117  0.034  0.747 (multiplicity 4)
O  0.143  0.078  0.147 (multiplicity 4)
O  0.157  0.250  0.243 (multiplicity 2)
O  0.252  0.532  0.454 (multiplicity 4)
O  0.294  0.668  0.480 (multiplicity 4)
O  0.316  0.161  0.757 (multiplicity 4)
O  0.333  0.078  0.949 (multiplicity 4)
O  0.349  0.750  0.743 (multiplicity 2)
O  0.403  0.547  0.219 (multiplicity 4)
O  0.404  0.183  0.084 (multiplicity 4)
O  0.500  0.081  0.356 (multiplicity 4)

Record 18
Computed, not measured: a crystal of KMg3Re relaxed with PBEsol at the meta-GGA SCAN level of DFT.

Results
* energy of formation from the pure elements: 743 meV per atom

Cell: 5.203 5.203 5.203 Å, 90.00 90.00 90.00°
Space group Pm-3m (No. 221)
Unique sites:
K  0.000  0.000  0.000 (multiplicity 1)
Mg  0.000  0.500  0.500 (multiplicity 3)
Re  0.500  0.500  0.500 (multiplicity 1)

Record 19
Computed, not measured: a crystal of Si3HCl relaxed with PBEsol at the meta-GGA SCAN level of DFT.

Results
* total energy: -36.0 eV/cell

Cell: 4.150 4.150 4.150 Å, 90.00 90.00 90.00°
Space group Pm-3m (No. 221)
Unique sites:
Si  0.000  0.000  0.500 (multiplicity 3)
H  0.000  0.000  0.000 (multiplicity 1)
Cl  0.500  0.500  0.500 (multiplicity 1)

Record 20
Computed, not measured: a crystal of Pt2RhW relaxed with PBEsol at the meta-GGA SCAN level of DFT.

Results
* relative energy among the computed polymorphs: 33.3 kJ/mol of atoms
* energy of formation from the pure elements: 43 meV per atom

Cell: 6.203 6.203 6.203 Å, 90.00 90.00 90.00°
Space group Fm-3m (No. 225)
Unique sites:
Pt  0.250  0.250  0.250 (multiplicity 8)
Rh  0.000  0.000  0.000 (multiplicity 4)
W  0.000  0.000  0.500 (multiplicity 4)

Record 21
Computed, not measured: a crystal of Zr2ZnCd relaxed with PBEsol at the meta-GGA SCAN level of DFT.

Results
* relative energy among the computed polymorphs: 5.7 kJ/mol of atoms
* energy of formation from the pure elements: -187 meV per atom

Cell: 10.887 3.128 5.055 Å, 90.00 115.87 90.00°
Space group Cm (No. 8)
Unique sites:
Zr  0.000  0.000  0.000 (multiplicity 2)
Zr  0.236  0.000  0.762 (multiplicity 2)
Zn  0.494  0.000  0.490 (multiplicity 2)
Cd  0.272  0.500  0.297 (multiplicity 2)

Record 22
Computed, not measured: a crystal of KSc2GaBi relaxed with PBEsol at the meta-GGA SCAN level of DFT.

Results
* energy of formation from the pure elements: 1234 meV per atom

Cell: 5.117 5.117 5.192 Å, 90.00 90.00 90.00°
Space group P4/mmm (No. 123)
Unique sites:
K  0.000  0.000  0.000 (multiplicity 1)
Sc  0.000  0.500  0.000 (multiplicity 2)
Ga  0.000  0.000  0.500 (multiplicity 1)
Bi  0.500  0.500  0.500 (multiplicity 1)

Record 23
Computed, not measured: a crystal of ZrCoSb2 relaxed with PBEsol at the meta-GGA SCAN level of DFT.

Results
* formation energy (no corrections): 0.121 eV per atom

Cell: 6.735 6.735 6.735 Å, 90.00 90.00 90.00°
Space group Fm-3m (No. 225)
Unique sites:
Zr  0.000  0.000  0.000 (multiplicity 4)
Co  0.000  0.000  0.500 (multiplicity 4)
Sb  0.250  0.250  0.250 (multiplicity 8)

Record 24
Computed, not measured: a crystal of CaCdIn2 relaxed with PBEsol at the meta-GGA SCAN level of DFT.

Results
* energy of formation from the pure elements: -302 meV per atom

Cell: 4.594 4.594 9.359 Å, 90.00 90.00 90.00°
Space group I4/mmm (No. 139)
Unique sites:
Ca  0.000  0.000  0.000 (multiplicity 2)
Cd  0.000  0.000  0.500 (multiplicity 2)
In  0.000  0.500  0.250 (multiplicity 4)

Record 25
Computed, not measured: a crystal of RhSe relaxed with PBEsol at the meta-GGA SCAN level of DFT.

Results
* formation energy (no corrections): 0.017 eV per atom

Cell: 3.1115 3.1115 11.1682 Å, 90.00 90.00 120.00°
Space group R-3m (No. 166, hexagonal axes)
Unique sites:
Rh  0.0000  0.0000  0.0000 (multiplicity 3)
Se  0.0000  0.0000  0.5000 (multiplicity 3)